Density functional theory data (PBE) for a relaxed HRhAu2 crystal.

The calculation puts the total magnetization at 0.00 μB per cell. Its calculated density is 13.87 g cm⁻³. The final energy is -57.442 eV for the cell shown.

The structure belongs to space group Fm-3m (No. 225); the cell edges are 6.2001, 6.2001 and 6.2001 Å and the angles 90.00°, 90.00° and 90.00°. Symmetry generates all atoms from H at (0.0000, 0.0000, 0.0000), Rh at (0.0000, 0.0000, 0.5000) and Au at (0.2500, 0.2500, 0.2500).